[1]
Entry from Alexandria via LeMat-Bulk: a geometry-optimized Ca2PtAuN structure (PBE).

Computed properties:
DOS(E_F)   0.491 states/eV/atom
Energy   -5.078 eV/atom
Space group   P4/mmm

abc: 5.0420 5.0420 3.8844
angles: 90.00 90.00 90.00
Closest atoms and distances in Å follow each position.
Sites, in units of the cell vectors:
Ca1 0.0000 0.5000 0.0000  2 N 2.52
Ca2 0.5000 0.0000 0.0000  2 N 2.52
Pt1 0.0000 0.0000 0.5000  2 N 1.94
Au1 0.5000 0.5000 0.5000  8 Ca 3.18
N1 0.0000 0.0000 0.0000  2 Pt 1.94



[2]
Entry from Alexandria via LeMat-Bulk: a geometry-optimized Mg2InBi structure (PBE).

Computed properties:
DOS(E_F)   0.354 states/eV/atom
E above lowest polymorph   0 meV per atom
Energy   -2.554 eV/atom
Formation energy from the elements   -102 meV/atom
Space group   P2_1/m

abc: 6.3947 5.1246 6.6505
angles: 90.00 104.78 90.00
Closest atoms and distances in Å follow each position.
Sites, in units of the cell vectors:
Mg1 0.1595 0.2500 0.0815  3 Bi 3.13-3.19, 4 In 3.14-3.26, 3 Mg 3.28-3.37
Mg2 0.3108 0.2500 0.6312  4 Bi 3.13-3.21, 3 In 3.15-3.24, 1 Mg 3.37
Mg3 0.6892 0.7500 0.3688  4 Bi 3.13-3.21, 3 In 3.15-3.24, 1 Mg 3.37
Mg4 0.8405 0.7500 0.9185  3 Bi 3.13-3.19, 4 In 3.14-3.26, 3 Mg 3.28-3.37
In1 0.3484 0.7500 0.9143  7 Mg 3.14-3.26, 2 In 3.24, 1 Bi 3.35
In2 0.6516 0.2500 0.0857  7 Mg 3.14-3.26, 2 In 3.24, 1 Bi 3.35
Bi1 0.1885 0.7500 0.3571  7 Mg 3.13-3.21, 1 In 3.35
Bi2 0.8115 0.2500 0.6429  7 Mg 3.13-3.21, 1 In 3.35



[3]
Entry from Alexandria via LeMat-Bulk: a geometry-optimized Tm4GaAuC structure (PBE).

Computed properties:
DOS(E_F)   1.066 states/eV/atom
Energy   -5.265 eV/atom
Formation energy from the elements   -492 meV/atom
Space group   Cmcm

abc: 7.9291 7.9291 6.7255
angles: 90.00 90.00 130.00
Closest atoms and distances in Å follow each position.
Sites, in units of the cell vectors:
Tm1 0.0000 0.5000 0.0000  2 C 2.37
Tm2 0.0000 0.5000 0.5000  2 C 2.37
Tm3 0.0791 0.9209 0.7500  1 C 2.45
Tm4 0.4207 0.5793 0.7500  1 C 2.46
Tm5 0.5000 0.0000 0.0000  2 C 2.37
Tm6 0.5000 0.0000 0.5000  2 C 2.37
Tm7 0.5793 0.4207 0.2500  1 C 2.46
Tm8 0.9209 0.0791 0.2500  1 C 2.45
Ga1 0.1223 0.8777 0.2500  5 Tm 2.90-3.00
Ga2 0.8777 0.1223 0.7500  5 Tm 2.90-3.00
Au1 0.3815 0.6185 0.2500  5 Tm 2.84-3.03
Au2 0.6185 0.3815 0.7500  5 Tm 2.84-3.03
C1 0.2494 0.7506 0.7500  6 Tm 2.37-2.46
C2 0.7506 0.2494 0.2500  6 Tm 2.37-2.46



Copy entry 3 word for word.
Entry from Alexandria via LeMat-Bulk: a geometry-optimized Tm4GaAuC structure (PBE).

Computed properties:
DOS(E_F)   1.066 states/eV/atom
Energy   -5.265 eV/atom
Formation energy from the elements   -492 meV/atom
Space group   Cmcm

abc: 7.9291 7.9291 6.7255
angles: 90.00 90.00 130.00
Closest atoms and distances in Å follow each position.
Sites, in units of the cell vectors:
Tm1 0.0000 0.5000 0.0000  2 C 2.37
Tm2 0.0000 0.5000 0.5000  2 C 2.37
Tm3 0.0791 0.9209 0.7500  1 C 2.45
Tm4 0.4207 0.5793 0.7500  1 C 2.46
Tm5 0.5000 0.0000 0.0000  2 C 2.37
Tm6 0.5000 0.0000 0.5000  2 C 2.37
Tm7 0.5793 0.4207 0.2500  1 C 2.46
Tm8 0.9209 0.0791 0.2500  1 C 2.45
Ga1 0.1223 0.8777 0.2500  5 Tm 2.90-3.00
Ga2 0.8777 0.1223 0.7500  5 Tm 2.90-3.00
Au1 0.3815 0.6185 0.2500  5 Tm 2.84-3.03
Au2 0.6185 0.3815 0.7500  5 Tm 2.84-3.03
C1 0.2494 0.7506 0.7500  6 Tm 2.37-2.46
C2 0.7506 0.2494 0.2500  6 Tm 2.37-2.46



Which value of energy does entry 1 give? -5.078 eV/atom



What is the energy in the first record? -5.078 eV/atom